Entry 1:
# PBE-GGA AlNi2Te, optimized geometry
# * DFT total energy: -4.346 eV/atom
data_AlNi2Te
_chemical_formula_sum 'Al4 Ni8 Te4'
_space_group_name_H-M_alt 'F -4 3 m'
_space_group_IT_number 216
_space_group_name_Hall 'F -4 2 3'
_cell_length_a 6.292
_cell_length_b 6.292
_cell_length_c 6.292
_cell_angle_alpha 90.00
_cell_angle_beta 90.00
_cell_angle_gamma 90.00
loop_
_atom_site_label
_atom_site_fract_x
_atom_site_fract_y
_atom_site_fract_z
_atom_site_occupancy
Al1 0.000 0.000 0.000 1
Ni1 0.000 0.000 0.500 1
Ni2 0.250 0.250 0.750 1
Te1 0.250 0.250 0.250 1



Entry 2:
# PBE-GGA Be2Te, optimized geometry
# * DFT total energy: -3.510 eV/atom
data_Be2Te
_chemical_formula_sum 'Be8 Te4'
_space_group_name_H-M_alt 'C 1 2/m 1'
_space_group_IT_number 12
_cell_length_a 6.503
_cell_length_b 3.754
_cell_length_c 10.061
_cell_angle_alpha 90.00
_cell_angle_beta 103.27
_cell_angle_gamma 90.00
loop_
_space_group_symop_operation_xyz
'x,y,z'
'-x,-y,-z'
'-x,y,-z'
'x,-y,z'
'x+1/2,y+1/2,z'
'-x+1/2,-y+1/2,-z'
'-x+1/2,y+1/2,-z'
'x+1/2,-y+1/2,z'
loop_
_atom_site_label
_atom_site_fract_x
_atom_site_fract_y
_atom_site_fract_z
_atom_site_occupancy
Be1 0.107 0.000 0.331 1
Be2 0.184 0.000 0.551 1
Te1 0.230 0.500 0.211 1



Entry 3:
# PBE-GGA AcZn2CuPd, optimized geometry
# * DFT total energy: -3.600 eV/atom
# * ΔE_f: -411 meV per atom
data_AcZn2CuPd
_chemical_formula_sum 'Ac2 Zn4 Cu2 Pd2'
_space_group_name_H-M_alt 'I m m 2'
_space_group_IT_number 44
_cell_length_a 4.289
_cell_length_b 4.337
_cell_length_c 10.903
_cell_angle_alpha 90.00
_cell_angle_beta 90.00
_cell_angle_gamma 90.00
loop_
_space_group_symop_operation_xyz
'x,y,z'
'-x,-y,z'
'-x,y,z'
'x,-y,z'
'x+1/2,y+1/2,z+1/2'
'-x+1/2,-y+1/2,z+1/2'
'-x+1/2,y+1/2,z+1/2'
'x+1/2,-y+1/2,z+1/2'
loop_
_atom_site_label
_atom_site_fract_x
_atom_site_fract_y
_atom_site_fract_z
_atom_site_occupancy
Ac1 0.000 0.000 0.000 1
Zn1 0.000 0.000 0.369 1
Zn2 0.000 0.500 0.244 1
Cu1 0.000 0.500 0.747 1
Pd1 0.000 0.000 0.606 1



Entry 4:
# PBE-GGA Zr2MnAlSe, optimized geometry
# * DFT total energy: -6.615 eV/atom
data_Zr2MnAlSe
_chemical_formula_sum 'Zr2 Mn1 Al1 Se1'
_space_group_name_H-M_alt 'P 4/m m m'
_space_group_IT_number 123
_space_group_name_Hall '-P 4 2'
_cell_length_a 5.001
_cell_length_b 5.001
_cell_length_c 4.457
_cell_angle_alpha 90.00
_cell_angle_beta 90.00
_cell_angle_gamma 90.00
loop_
_atom_site_label
_atom_site_fract_x
_atom_site_fract_y
_atom_site_fract_z
_atom_site_occupancy
Zr1 0.000 0.500 0.000 1
Mn1 0.000 0.000 0.500 1
Al1 0.500 0.500 0.500 1
Se1 0.000 0.000 0.000 1



Entry 5:
# PBE-GGA K3CuSb, optimized geometry
# * DFT total energy: -2.109 eV/atom
data_K3CuSb
_chemical_formula_sum 'K3 Cu1 Sb1'
_space_group_name_H-M_alt 'P m -3 m'
_space_group_IT_number 221
_space_group_name_Hall '-P 4 2 3'
_cell_length_a 6.031
_cell_length_b 6.031
_cell_length_c 6.031
_cell_angle_alpha 90.00
_cell_angle_beta 90.00
_cell_angle_gamma 90.00
loop_
_atom_site_label
_atom_site_fract_x
_atom_site_fract_y
_atom_site_fract_z
_atom_site_occupancy
K1 0.000 0.000 0.500 1
Cu1 0.000 0.000 0.000 1
Sb1 0.500 0.500 0.500 1



Entry 6:
# PBE-GGA Nd2Co12Si7, optimized geometry
# * DFT total energy: -6.864 eV/atom
data_Nd2Co12Si7
_chemical_formula_sum 'Nd2 Co12 Si7'
_space_group_name_H-M_alt 'P -6'
_space_group_IT_number 174
_cell_length_a 9.1948
_cell_length_b 9.1948
_cell_length_c 3.6926
_cell_angle_alpha 90.00
_cell_angle_beta 90.00
_cell_angle_gamma 120.00
loop_
_space_group_symop_operation_xyz
'x,y,z'
'-x+y,-x,-z'
'-y,x-y,z'
'x,y,-z'
'-x+y,-x,z'
'-y,x-y,-z'
loop_
_atom_site_label
_atom_site_fract_x
_atom_site_fract_y
_atom_site_fract_z
_atom_site_occupancy
Nd1 0.0000 0.0000 0.0000 1
Nd2 0.3333 0.6667 0.5000 1
Co1 0.0444 0.7632 0.5000 1
Co2 0.1036 0.3896 0.0000 1
Co3 0.3912 0.2038 0.0000 1
Co4 0.5517 0.1146 0.5000 1
Si1 0.0581 0.6177 0.0000 1
Si2 0.2726 0.0393 0.5000 1
Si3 0.6667 0.3333 0.0000 1



Entry 7:
# PBE-GGA SrCrMo2, optimized geometry
# * DFT total energy: -7.268 eV/atom
# * ΔE_f: 974 meV per atom
data_SrCrMo2
_chemical_formula_sum 'Sr2 Cr2 Mo4'
_space_group_name_H-M_alt 'I m m m'
_space_group_IT_number 71
_space_group_name_Hall '-I 2 2'
_cell_length_a 2.929
_cell_length_b 5.245
_cell_length_c 9.927
_cell_angle_alpha 90.00
_cell_angle_beta 90.00
_cell_angle_gamma 90.00
loop_
_atom_site_label
_atom_site_fract_x
_atom_site_fract_y
_atom_site_fract_z
_atom_site_occupancy
Sr1 0.000 0.000 0.000 1
Cr1 0.000 0.000 0.500 1
Mo1 0.000 0.500 0.206 1



Entry 8:
# PBE-GGA W7Au, optimized geometry
# * DFT total energy: -11.370 eV/atom
# * ΔE_f: 373 meV per atom
data_W7Au
_chemical_formula_sum 'W28 Au4'
_space_group_name_H-M_alt 'F m -3 m'
_space_group_IT_number 225
_space_group_name_Hall '-F 4 2 3'
_cell_length_a 8.061
_cell_length_b 8.061
_cell_length_c 8.061
_cell_angle_alpha 90.00
_cell_angle_beta 90.00
_cell_angle_gamma 90.00
loop_
_atom_site_label
_atom_site_fract_x
_atom_site_fract_y
_atom_site_fract_z
_atom_site_occupancy
W1 0.000 0.000 0.000 1
W2 0.000 0.250 0.250 1
Au1 0.000 0.000 0.500 1



Entry 9:
# PBE-GGA Cs6In3Cl14, optimized geometry
# * DFT total energy: -3.276 eV/atom
data_Cs6In3Cl14
_chemical_formula_sum 'Cs6 In3 Cl14'
_space_group_name_H-M_alt 'P 3'
_space_group_IT_number 143
_cell_length_a 12.3218
_cell_length_b 12.3218
_cell_length_c 7.2504
_cell_angle_alpha 90.00
_cell_angle_beta 90.00
_cell_angle_gamma 120.00
loop_
_space_group_symop_operation_xyz
'x,y,z'
'-y,x-y,z'
'-x+y,-x,z'
loop_
_atom_site_label
_atom_site_fract_x
_atom_site_fract_y
_atom_site_fract_z
_atom_site_occupancy
Cs1 0.0145 0.4561 0.0000 1
Cs2 0.2897 0.1979 0.4560 1
In1 0.0000 0.0000 0.0210 1
In2 0.3333 0.6667 0.5629 1
In3 0.6667 0.3333 0.6514 1
Cl1 0.0000 0.0000 0.6575 1
Cl2 0.0748 0.2241 0.1628 1
Cl3 0.2018 0.7412 0.6857 1
Cl4 0.3333 0.6667 0.2319 1
Cl5 0.4710 0.2633 0.8558 1
Cl6 0.5393 0.1345 0.4554 1



Entry 10:
# PBE-GGA LiN3Cl, optimized geometry
# * DFT total energy: -3.287 eV/atom
data_LiN3Cl
_chemical_formula_sum 'Li1 N3 Cl1'
_space_group_name_H-M_alt 'P m -3 m'
_space_group_IT_number 221
_space_group_name_Hall '-P 4 2 3'
_cell_length_a 3.776
_cell_length_b 3.776
_cell_length_c 3.776
_cell_angle_alpha 90.00
_cell_angle_beta 90.00
_cell_angle_gamma 90.00
loop_
_atom_site_label
_atom_site_fract_x
_atom_site_fract_y
_atom_site_fract_z
_atom_site_occupancy
Li1 0.000 0.000 0.000 1
N1 0.000 0.500 0.500 1
Cl1 0.500 0.500 0.500 1



Entry 11:
# PBE-GGA NdSm2Fe, optimized geometry
# * DFT total energy: -5.314 eV/atom
# * ΔE_f: 353 meV per atom
data_NdSm2Fe
_chemical_formula_sum 'Nd3 Sm6 Fe3'
_space_group_name_H-M_alt 'R -3 m'
_space_group_IT_number 166
_space_group_name_Hall '-R 3 2"'
_cell_length_a 3.5537
_cell_length_b 3.5537
_cell_length_c 32.4472
_cell_angle_alpha 90.00
_cell_angle_beta 90.00
_cell_angle_gamma 120.00
loop_
_atom_site_label
_atom_site_fract_x
_atom_site_fract_y
_atom_site_fract_z
_atom_site_occupancy
Nd1 0.0000 0.0000 0.0000 1
Sm1 0.0000 0.0000 0.1089 1
Fe1 0.0000 0.0000 0.5000 1



Entry 12:
# PBE-GGA Ca2B7Ru12, optimized geometry
# * DFT total energy: -7.795 eV/atom
# * ΔE_f: -78 meV per atom
data_Ca2B7Ru12
_chemical_formula_sum 'Ca2 B7 Ru12'
_space_group_name_H-M_alt 'P -6'
_space_group_IT_number 174
_cell_length_a 10.2754
_cell_length_b 10.2754
_cell_length_c 2.9021
_cell_angle_alpha 90.00
_cell_angle_beta 90.00
_cell_angle_gamma 120.00
loop_
_space_group_symop_operation_xyz
'x,y,z'
'-x+y,-x,-z'
'-y,x-y,z'
'x,y,-z'
'-x+y,-x,z'
'-y,x-y,-z'
loop_
_atom_site_label
_atom_site_fract_x
_atom_site_fract_y
_atom_site_fract_z
_atom_site_occupancy
Ca1 0.0000 0.0000 0.0000 1
Ca2 0.3333 0.6667 0.5000 1
B1 0.0972 0.6652 0.0000 1
B2 0.2758 0.0688 0.5000 1
B3 0.6667 0.3333 0.5000 1
Ru1 0.0076 0.7457 0.5000 1
Ru2 0.0882 0.3477 0.0000 1
Ru3 0.4733 0.2310 0.0000 1
Ru4 0.5109 0.0294 0.5000 1



Entry 13:
# PBE-GGA Pr2Nd3ScS6, optimized geometry
# * DFT total energy: -6.547 eV/atom
data_Pr2Nd3ScS6
_chemical_formula_sum 'Pr4 Nd6 Sc2 S12'
_space_group_name_H-M_alt 'C 1 2/m 1'
_space_group_IT_number 12
_cell_length_a 17.499
_cell_length_b 4.011
_cell_length_c 8.106
_cell_angle_alpha 90.00
_cell_angle_beta 103.18
_cell_angle_gamma 90.00
loop_
_space_group_symop_operation_xyz
'x,y,z'
'-x,-y,-z'
'-x,y,-z'
'x,-y,z'
'x+1/2,y+1/2,z'
'-x+1/2,-y+1/2,-z'
'-x+1/2,y+1/2,-z'
'x+1/2,-y+1/2,z'
loop_
_atom_site_label
_atom_site_fract_x
_atom_site_fract_y
_atom_site_fract_z
_atom_site_occupancy
Pr1 0.166 0.000 0.334 1
Nd1 0.000 0.500 0.500 1
Nd2 0.170 0.000 0.835 1
Sc1 0.000 0.500 0.000 1
S1 0.003 0.000 0.772 1
S2 0.157 0.500 0.076 1
S3 0.166 0.500 0.585 1



Entry 14:
# PBE-GGA Pr12Nd6Mg, optimized geometry
# * DFT total energy: -4.502 eV/atom
# * ΔE_f: 107 meV per atom
data_Pr12Nd6Mg
_chemical_formula_sum 'Pr36 Nd18 Mg3'
_space_group_name_H-M_alt 'R -3'
_space_group_IT_number 148
_space_group_name_Hall '-R 3'
_cell_length_a 12.3184
_cell_length_b 12.3184
_cell_length_c 15.5450
_cell_angle_alpha 90.00
_cell_angle_beta 90.00
_cell_angle_gamma 120.00
loop_
_atom_site_label
_atom_site_fract_x
_atom_site_fract_y
_atom_site_fract_z
_atom_site_occupancy
Pr1 0.0066 0.8307 0.3125 1
Pr2 0.0489 0.2001 0.9163 1
Nd1 0.0185 0.5911 0.1888 1
Mg1 0.0000 0.0000 0.5000 1



Entry 15:
# PBE-GGA BaZn2Sn4, optimized geometry
# * DFT total energy: -3.116 eV/atom
# * ΔE_f: -190 meV per atom
data_BaZn2Sn4
_chemical_formula_sum 'Ba2 Zn4 Sn8'
_space_group_name_H-M_alt 'C m m m'
_space_group_IT_number 65
_space_group_name_Hall '-C 2 2'
_cell_length_a 5.544
_cell_length_b 13.154
_cell_length_c 5.262
_cell_angle_alpha 90.00
_cell_angle_beta 90.00
_cell_angle_gamma 90.00
loop_
_atom_site_label
_atom_site_fract_x
_atom_site_fract_y
_atom_site_fract_z
_atom_site_occupancy
Ba1 0.000 0.000 0.000 1
Zn1 0.000 0.406 0.500 1
Sn1 0.000 0.182 0.500 1
Sn2 0.000 0.305 0.000 1



Entry 16:
# PBE-GGA KLaTl, optimized geometry
# * DFT total energy: -2.641 eV/atom
# * ΔE_f: 156 meV per atom
data_KLaTl
_chemical_formula_sum 'K4 La4 Tl4'
_space_group_name_H-M_alt 'F -4 3 m'
_space_group_IT_number 216
_space_group_name_Hall 'F -4 2 3'
_cell_length_a 7.919
_cell_length_b 7.919
_cell_length_c 7.919
_cell_angle_alpha 90.00
_cell_angle_beta 90.00
_cell_angle_gamma 90.00
loop_
_atom_site_label
_atom_site_fract_x
_atom_site_fract_y
_atom_site_fract_z
_atom_site_occupancy
K1 0.000 0.000 0.000 1
La1 0.000 0.000 0.500 1
Tl1 0.250 0.250 0.750 1



Entry 17:
# PBE-GGA Al2CdSe, optimized geometry
# * DFT total energy: -2.753 eV/atom
data_Al2CdSe
_chemical_formula_sum 'Al8 Cd4 Se4'
_space_group_name_H-M_alt 'F m -3 m'
_space_group_IT_number 225
_space_group_name_Hall '-F 4 2 3'
_cell_length_a 6.926
_cell_length_b 6.926
_cell_length_c 6.926
_cell_angle_alpha 90.00
_cell_angle_beta 90.00
_cell_angle_gamma 90.00
loop_
_atom_site_label
_atom_site_fract_x
_atom_site_fract_y
_atom_site_fract_z
_atom_site_occupancy
Al1 0.250 0.250 0.250 1
Cd1 0.000 0.000 0.000 1
Se1 0.000 0.000 0.500 1



Entry 18:
# PBE-GGA MgSc3Ag, optimized geometry
# * DFT total energy: -4.294 eV/atom
# * ΔE_f: 394 meV per atom
data_MgSc3Ag
_chemical_formula_sum 'Mg1 Sc3 Ag1'
_space_group_name_H-M_alt 'P m -3 m'
_space_group_IT_number 221
_space_group_name_Hall '-P 4 2 3'
_cell_length_a 5.222
_cell_length_b 5.222
_cell_length_c 5.222
_cell_angle_alpha 90.00
_cell_angle_beta 90.00
_cell_angle_gamma 90.00
loop_
_atom_site_label
_atom_site_fract_x
_atom_site_fract_y
_atom_site_fract_z
_atom_site_occupancy
Mg1 0.000 0.000 0.000 1
Sc1 0.000 0.500 0.500 1
Ag1 0.500 0.500 0.500 1



Entry 19:
# PBE-GGA ScTi2BeP, optimized geometry
# * DFT total energy: -6.107 eV/atom
# * ΔE_f: 145 meV per atom
data_ScTi2BeP
_chemical_formula_sum 'Sc1 Ti2 Be1 P1'
_space_group_name_H-M_alt 'P 4/m m m'
_space_group_IT_number 123
_space_group_name_Hall '-P 4 2'
_cell_length_a 4.469
_cell_length_b 4.469
_cell_length_c 3.934
_cell_angle_alpha 90.00
_cell_angle_beta 90.00
_cell_angle_gamma 90.00
loop_
_atom_site_label
_atom_site_fract_x
_atom_site_fract_y
_atom_site_fract_z
_atom_site_occupancy
Sc1 0.000 0.000 0.000 1
Ti1 0.000 0.500 0.500 1
Be1 0.500 0.500 0.500 1
P1 0.500 0.500 0.000 1



Entry 20:
# PBE-GGA Pr8Er2Sc, optimized geometry
# * DFT total energy: -4.769 eV/atom
# * ΔE_f: 112 meV per atom
data_Pr8Er2Sc
_chemical_formula_sum 'Pr16 Er4 Sc2'
_space_group_name_H-M_alt 'I m m m'
_space_group_IT_number 71
_space_group_name_Hall '-I 2 2'
_cell_length_a 5.771
_cell_length_b 7.997
_cell_length_c 16.474
_cell_angle_alpha 90.00
_cell_angle_beta 90.00
_cell_angle_gamma 90.00
loop_
_atom_site_label
_atom_site_fract_x
_atom_site_fract_y
_atom_site_fract_z
_atom_site_occupancy
Pr1 0.000 0.000 0.169 1
Pr2 0.000 0.208 0.369 1
Pr3 0.000 0.280 0.000 1
Er1 0.000 0.500 0.199 1
Sc1 0.000 0.500 0.500 1